Cr2CdF8: relaxed, GGA+U.

a b c (Å): 6.2205 6.2205 4.0852
angles (deg): 90.25 90.25 70.81
Last column: nearest neighbours and their distance in Å.
Sites, in units of the cell vectors:
Cr1 0.1211 0.1211 0.2489  4 F 1.86-2.06
Cr2 0.8789 0.8789 0.7511  4 F 1.86-2.06
Cd1 0.5000 0.5000 0.0000  6 F 2.26-2.27
F1 0.0854 0.0854 0.7507  3 Cr 2.06-2.09
F2 0.1542 0.6297 0.7515  1 Cr 1.89
F3 0.3041 0.3041 0.2622  1 Cr 1.86
F4 0.3703 0.8458 0.2485  1 Cr 1.89
F5 0.6297 0.1542 0.7515  1 Cr 1.89
F6 0.6959 0.6959 0.7378  1 Cr 1.86
F7 0.8458 0.3703 0.2485  1 Cr 1.89
F8 0.9146 0.9146 0.2493  3 Cr 2.06-2.09

For the total energy, the calculation gives -5.26 eV per atom. The symmetry is C2/m (12). The crystal system is monoclinic. For the density of states at the Fermi level, the calculation gives 0.0 states/eV/f.u. The value obtained for the spin magnetization is 6.00 μB/f.u.